No. 1
Below is an optimized crystal structure of ZnInAs2Se, with properties calculated at the PBEsol level.

Cell and atoms, written as POSCAR:
```
ZnInAs2Se
1.0
4.792 0.000 0.000
0.000 4.792 0.000
0.000 0.000 4.988
Zn In As Se
1 1 2 1
Cartesian
0.000 0.000 0.000 Zn
2.396 2.396 2.494 In
0.000 2.396 0.000 As
2.396 0.000 0.000 As
0.000 0.000 2.494 Se
```

Properties
space-group type: P4/mmm
uncorrected formation energy: 0.48 eV per atom
spin magnetization: 0.0 μB/f.u.
uncorrected energy: -16.25 eV/cell


No. 2
Below is an optimized crystal structure of InSiAs2, with properties calculated at the PBEsol level.

Cell and atoms, written as POSCAR:
```
InSiAs2
1.0
1.871 1.080 6.698
-1.871 1.080 6.698
0.000 -2.160 6.698
In Si As
1 1 2
Cartesian
0.000 0.000 0.000 In
0.000 0.000 15.271 Si
0.000 0.000 4.918 As
0.000 0.000 9.877 As
```

Properties
space-group type: R3m
uncorrected formation energy: 0.15 eV per atom
spin magnetization: 0.0 μB/f.u.
uncorrected energy: -18.35 eV/cell


No. 3
Below is an optimized crystal structure of SrInAs, with properties calculated at the PBEsol level.

Cell and atoms, written as POSCAR:
```
SrInAs
1.0
4.286 0.000 0.000
-2.143 3.712 0.000
0.000 0.000 5.484
Sr In As
1 1 1
Cartesian
0.000 0.000 0.000 Sr
2.143 1.237 2.412 In
0.000 2.474 3.683 As
```

Properties
space-group type: P3m1
formation energy from the elements: -0.69 eV/atom
spin magnetization: 0.0 μB/f.u.
uncorrected energy: -12.01 eV/cell


No. 4
Below is an optimized crystal structure of TaInAs2, with properties calculated at the PBEsol level.

Cell and atoms, written as POSCAR:
```
TaInAs2
1.0
1.793 -2.387 0.000
1.793 2.387 0.000
0.000 0.000 9.579
Ta In As
1 1 2
Cartesian
0.000 0.000 0.000 Ta
0.000 0.000 4.790 In
1.793 0.000 1.913 As
1.793 0.000 7.666 As
```

Properties
space-group type: Cmmm
formation energy from the elements: -0.07 eV/atom
spin magnetization: 0.0 μB/f.u.
uncorrected energy: -26.04 eV/cell


No. 5
Below is an optimized crystal structure of TaInAs2, with properties calculated at the PBEsol level.

Cell and atoms, written as POSCAR:
```
TaInAs2
1.0
3.329 0.000 0.000
0.000 3.329 0.000
0.000 0.000 6.978
Ta In As
1 1 2
Cartesian
0.000 0.000 0.000 Ta
1.665 1.665 4.992 In
0.000 0.000 2.829 As
1.665 1.665 1.086 As
```

Properties
space-group type: P4mm
formation energy from the elements: 0.06 eV/atom
spin magnetization: 0.0 μB/f.u.
uncorrected energy: -25.50 eV/cell


No. 6
Below is an optimized crystal structure of TaInAs, with properties calculated at the PBEsol level.

Cell and atoms, written as POSCAR:
```
TaInAs
1.0
0.000 3.205 3.205
3.205 0.000 3.205
3.205 3.205 0.000
Ta In As
1 1 1
Cartesian
0.000 0.000 0.000 Ta
4.808 4.808 4.808 In
1.603 1.603 1.603 As
```

Properties
space-group type: F-43m
formation energy from the elements: 0.59 eV/atom
spin magnetization: 0.0 μB/f.u.
uncorrected energy: -18.86 eV/cell


No. 7
Below is an optimized crystal structure of TaInAs2, with properties calculated at the PBEsol level.

Cell and atoms, written as POSCAR:
```
TaInAs2
1.0
-1.960 1.960 4.812
1.960 -1.960 4.812
1.960 1.960 -4.812
Ta In As
1 1 2
Cartesian
0.000 0.000 0.000 Ta
1.960 0.000 2.406 In
0.000 0.000 4.812 As
0.000 1.960 2.406 As
```

Properties
space-group type: I-4m2
formation energy from the elements: 0.25 eV/atom
spin magnetization: 0.0 μB/f.u.
uncorrected energy: -24.75 eV/cell


No. 8
Below is an optimized crystal structure of TaInAs, with properties calculated at the PBEsol level.

Cell and atoms, written as POSCAR:
```
TaInAs
1.0
-1.681 1.681 4.925
1.681 -1.681 4.925
1.681 1.681 -4.925
Ta In As
1 1 1
Cartesian
0.000 0.000 0.000 Ta
0.000 0.000 3.018 In
0.000 0.000 6.040 As
```

Properties
space-group type: I4mm
formation energy from the elements: -0.16 eV/atom
spin magnetization: 0.0 μB/f.u.
uncorrected energy: -21.13 eV/cell


No. 9
Below is an optimized crystal structure of ZrTaIn2As, with properties calculated at the PBEsol level.

Cell and atoms, written as POSCAR:
```
ZrTaIn2As
1.0
5.234 0.000 0.000
0.000 5.234 0.000
0.000 0.000 4.779
Zr Ta In As
1 1 2 1
Cartesian
0.000 0.000 0.000 Zr
2.617 2.617 2.389 Ta
0.000 2.617 2.389 In
2.617 0.000 2.389 In
2.617 2.617 0.000 As
```

Properties
space-group type: P4/mmm
formation energy from the elements: 0.75 eV/atom
spin magnetization: 1.2 μB/f.u.
uncorrected energy: -28.97 eV/cell


No. 10
Below is an optimized crystal structure of InTeAs, with properties calculated at the PBEsol level.

Cell and atoms, written as POSCAR:
```
InTeAs
1.0
0.000 3.455 3.455
3.455 0.000 3.455
3.455 3.455 0.000
In Te As
1 1 1
Cartesian
0.000 0.000 0.000 In
5.182 5.182 5.182 Te
1.727 1.727 1.727 As
```

Properties
space-group type: F-43m
uncorrected formation energy: 0.32 eV per atom
spin magnetization: 0.0 μB/f.u.
uncorrected energy: -10.66 eV/cell


No. 11
Below is an optimized crystal structure of YIn2TeAs, with properties calculated at the PBEsol level.

Cell and atoms, written as POSCAR:
```
YIn2TeAs
1.0
5.495 0.000 0.000
0.000 5.495 0.000
0.000 0.000 5.292
Y In Te As
1 2 1 1
Cartesian
0.000 0.000 0.000 Y
0.000 2.748 2.646 In
2.748 0.000 2.646 In
2.748 2.748 2.646 Te
2.748 2.748 0.000 As
```

Properties
space-group type: P4/mmm
uncorrected formation energy: 0.52 eV per atom
spin magnetization: 0.0 μB/f.u.
uncorrected energy: -18.82 eV/cell


No. 12
Below is an optimized crystal structure of Ti2InAs, with properties calculated at the PBEsol level.

Cell and atoms, written as POSCAR:
```
Ti2InAs
1.0
0.000 3.249 3.249
3.249 0.000 3.249
3.249 3.249 0.000
Ti In As
2 1 1
Cartesian
1.624 1.624 1.624 Ti
4.873 4.873 4.873 Ti
0.000 0.000 0.000 In
3.249 3.249 3.249 As
```

Properties
space-group type: Fm-3m
formation energy from the elements: -0.18 eV/atom
spin magnetization: 0.0 μB/f.u.
uncorrected energy: -25.45 eV/cell


No. 13
Below is an optimized crystal structure of TlInAs2, with properties calculated at the PBEsol level.

Cell and atoms, written as POSCAR:
```
TlInAs2
1.0
-3.077 3.077 6.154
3.077 -3.077 6.154
3.077 3.077 -6.154
Tl In As
2 2 4
Cartesian
0.000 0.000 0.000 Tl
0.000 3.077 3.077 Tl
3.077 0.000 3.077 In
0.000 0.000 6.154 In
1.538 -1.491 4.615 As
1.586 1.538 1.538 As
1.538 4.568 -1.538 As
1.491 1.538 7.692 As
```

Properties
space-group type: I-42d
formation energy from the elements: -0.02 eV/atom
spin magnetization: 0.0 μB/f.u.
uncorrected energy: -31.83 eV/cell


No. 14
Below is an optimized crystal structure of TlIn2As, with properties calculated at the PBEsol level.

Cell and atoms, written as POSCAR:
```
TlIn2As
1.0
2.027 -2.478 0.000
2.027 2.478 0.000
0.000 0.000 9.850
Tl In As
1 2 1
Cartesian
0.000 0.000 0.000 Tl
0.000 0.000 5.368 In
2.027 0.000 2.792 In
2.027 0.000 7.460 As
```

Properties
space-group type: Cmm2
formation energy from the elements: 0.10 eV/atom
spin magnetization: 0.0 μB/f.u.
uncorrected energy: -13.31 eV/cell


No. 15
Below is an optimized crystal structure of TlIn2As, with properties calculated at the PBEsol level.

Cell and atoms, written as POSCAR:
```
TlIn2As
1.0
-1.932 2.298 5.648
1.932 -2.298 5.648
1.932 2.298 -5.648
Tl In As
1 2 1
Cartesian
0.000 0.000 0.000 Tl
0.000 0.000 4.697 In
0.000 2.298 2.256 In
1.932 0.000 2.608 As
```

Properties
space-group type: Imm2
formation energy from the elements: 0.04 eV/atom
spin magnetization: 0.0 μB/f.u.
uncorrected energy: -13.53 eV/cell


No. 16
Below is an optimized crystal structure of TlIn2As, with properties calculated at the PBEsol level.

Cell and atoms, written as POSCAR:
```
TlIn2As
1.0
-1.762 2.571 5.524
1.762 -2.571 5.524
1.762 2.571 -5.524
Tl In As
1 2 1
Cartesian
0.000 0.000 0.000 Tl
1.762 0.000 3.190 In
0.000 2.571 2.333 In
0.000 0.000 5.524 As
```

Properties
space-group type: Immm
formation energy from the elements: 0.06 eV/atom
spin magnetization: 0.0 μB/f.u.
uncorrected energy: -13.48 eV/cell


No. 17
Below is an optimized crystal structure of TlInAs2, with properties calculated at the PBEsol level.

Cell and atoms, written as POSCAR:
```
TlInAs2
1.0
1.956 -2.484 0.000
1.956 2.484 0.000
0.000 0.000 9.367
Tl In As
1 1 2
Cartesian
0.000 0.000 0.000 Tl
0.000 0.000 4.684 In
1.956 0.000 2.551 As
1.956 0.000 6.816 As
```

Properties
space-group type: Cmmm
formation energy from the elements: 0.22 eV/atom
spin magnetization: 0.0 μB/f.u.
uncorrected energy: -14.95 eV/cell


No. 18
Below is an optimized crystal structure of TlInAs2, with properties calculated at the PBEsol level.

Cell and atoms, written as POSCAR:
```
TlInAs2
1.0
-1.774 2.677 5.059
1.774 -2.677 5.059
1.774 2.677 -5.059
Tl In As
1 1 2
Cartesian
0.000 0.000 0.000 Tl
0.000 2.677 2.188 In
1.774 0.000 2.763 As
0.000 0.000 4.512 As
```

Properties
space-group type: Imm2
formation energy from the elements: 0.06 eV/atom
spin magnetization: 0.0 μB/f.u.
uncorrected energy: -15.58 eV/cell


No. 19
Below is an optimized crystal structure of Tl2InAs, with properties calculated at the PBEsol level.

Cell and atoms, written as POSCAR:
```
Tl2InAs
1.0
3.086 0.000 0.000
0.000 5.273 0.000
-0.369 0.000 6.208
Tl In As
2 1 1
Cartesian
0.449 0.000 1.611 Tl
2.268 0.000 4.597 Tl
1.543 2.636 0.000 In
1.359 2.636 3.104 As
```

Properties
space-group type: P2/m
formation energy from the elements: 0.11 eV/atom
spin magnetization: 0.0 μB/f.u.
uncorrected energy: -12.89 eV/cell


No. 20
Below is an optimized crystal structure of TlIn2As, with properties calculated at the PBEsol level.

Cell and atoms, written as POSCAR:
```
TlIn2As
1.0
6.014 0.000 0.000
0.000 3.062 0.000
-2.868 0.000 5.327
Tl In As
1 2 1
Cartesian
0.000 0.000 0.000 Tl
-1.434 1.531 2.664 In
1.573 0.000 2.664 In
3.007 1.531 0.000 As
```

Properties
space-group type: P2/m
formation energy from the elements: 0.11 eV/atom
spin magnetization: 0.0 μB/f.u.
uncorrected energy: -13.26 eV/cell


No. 21
Below is an optimized crystal structure of Tl2InAs, with properties calculated at the PBEsol level.

Cell and atoms, written as POSCAR:
```
Tl2InAs
1.0
-1.966 2.527 5.239
1.966 -2.527 5.239
1.966 2.527 -5.239
Tl In As
2 1 1
Cartesian
0.000 0.000 0.000 Tl
0.000 2.527 2.191 Tl
0.000 0.000 4.523 In
1.966 0.000 2.587 As
```

Properties
space-group type: Imm2
formation energy from the elements: 0.06 eV/atom
spin magnetization: 0.0 μB/f.u.
uncorrected energy: -13.12 eV/cell


No. 22
Below is an optimized crystal structure of In2AsW, with properties calculated at the PBEsol level.

Cell and atoms, written as POSCAR:
```
In2AsW
1.0
1.689 -2.443 0.000
1.689 2.443 0.000
0.000 0.000 10.101
In As W
2 1 1
Cartesian
0.000 0.000 0.000 In
1.689 0.000 2.809 In
0.000 0.000 5.905 As
1.689 0.000 7.753 W
```

Properties
space-group type: Cmm2
formation energy from the elements: 0.32 eV/atom
spin magnetization: 0.0 μB/f.u.
uncorrected energy: -23.59 eV/cell


No. 23
Below is an optimized crystal structure of In2AsW, with properties calculated at the PBEsol level.

Cell and atoms, written as POSCAR:
```
In2AsW
1.0
5.064 0.000 0.000
0.000 2.983 0.000
-2.169 0.000 5.115
In As W
2 1 1
Cartesian
0.000 0.000 0.000 In
-1.084 1.492 2.557 In
1.448 0.000 2.557 As
2.532 1.492 0.000 W
```

Properties
space-group type: P2/m
formation energy from the elements: 0.64 eV/atom
spin magnetization: 0.0 μB/f.u.
uncorrected energy: -22.34 eV/cell


No. 24
Below is an optimized crystal structure of InAsW3, with properties calculated at the PBEsol level.

Cell and atoms, written as POSCAR:
```
InAsW3
1.0
4.586 0.000 0.000
0.000 4.586 0.000
0.000 0.000 4.586
In As W
1 1 3
Cartesian
0.000 0.000 0.000 In
2.293 2.293 2.293 As
0.000 2.293 2.293 W
2.293 0.000 2.293 W
2.293 2.293 0.000 W
```

Properties
space-group type: Pm-3m
formation energy from the elements: 1.48 eV/atom
spin magnetization: 0.0 μB/f.u.
uncorrected energy: -42.09 eV/cell


No. 25
Below is an optimized crystal structure of In2AsW, with properties calculated at the PBEsol level.

Cell and atoms, written as POSCAR:
```
In2AsW
1.0
-2.094 2.094 4.340
2.094 -2.094 4.340
2.094 2.094 -4.340
In As W
2 1 1
Cartesian
0.000 0.000 0.000 In
0.000 2.094 2.170 In
2.094 0.000 2.170 As
0.000 0.000 4.340 W
```

Properties
space-group type: I-4m2
formation energy from the elements: 0.65 eV/atom
spin magnetization: 1.1 μB/f.u.
uncorrected energy: -22.26 eV/cell


No. 26
Below is an optimized crystal structure of In2AsW, with properties calculated at the PBEsol level.

Cell and atoms, written as POSCAR:
```
In2AsW
1.0
3.118 0.000 0.000
0.000 3.118 0.000
0.000 0.000 8.318
In As W
2 1 1
Cartesian
0.000 0.000 0.000 In
1.559 1.559 2.634 In
1.559 1.559 5.952 As
0.000 0.000 4.625 W
```

Properties
space-group type: P4mm
formation energy from the elements: 0.20 eV/atom
spin magnetization: 0.0 μB/f.u.
uncorrected energy: -24.09 eV/cell


No. 27
Below is an optimized crystal structure of InAs2W, with properties calculated at the PBEsol level.

Cell and atoms, written as POSCAR:
```
InAs2W
1.0
1.565 0.903 9.487
-1.565 0.903 9.487
0.000 -1.807 9.487
In As W
1 2 1
Cartesian
0.000 0.000 0.000 In
0.000 0.000 6.573 As
0.000 0.000 21.887 As
0.000 0.000 14.230 W
```

Properties
space-group type: R-3m
formation energy from the elements: 0.05 eV/atom
spin magnetization: 0.0 μB/f.u.
uncorrected energy: -26.80 eV/cell


No. 28
Below is an optimized crystal structure of InAs2W, with properties calculated at the PBEsol level.

Cell and atoms, written as POSCAR:
```
InAs2W
1.0
-2.472 2.472 2.875
2.472 -2.472 2.875
2.472 2.472 -2.875
In As W
1 2 1
Cartesian
0.000 0.000 0.000 In
2.472 0.000 1.437 As
0.000 2.472 1.437 As
0.000 0.000 2.875 W
```

Properties
space-group type: I4/mmm
formation energy from the elements: 0.50 eV/atom
spin magnetization: 0.1 μB/f.u.
uncorrected energy: -25.00 eV/cell


No. 29
Below is an optimized crystal structure of In4AsW, with properties calculated at the PBEsol level.

Cell and atoms, written as POSCAR:
```
In4AsW
1.0
0.000 3.983 3.983
3.983 0.000 3.983
3.983 3.983 0.000
In As W
4 1 1
Cartesian
0.998 0.998 0.998 In
2.985 2.985 0.998 In
2.985 0.998 2.985 In
0.998 2.985 2.985 In
5.975 5.975 5.975 As
3.983 3.983 3.983 W
```

Properties
space-group type: F-43m
formation energy from the elements: 0.88 eV/atom
spin magnetization: 0.0 μB/f.u.
uncorrected energy: -25.55 eV/cell


No. 30
Below is an optimized crystal structure of ZnIn2As2, with properties calculated at the PBEsol level.

Cell and atoms, written as POSCAR:
```
ZnIn2As2
1.0
-2.305 2.305 5.872
2.305 -2.305 5.872
2.305 2.305 -5.872
Zn In As
1 2 2
Cartesian
0.000 0.000 0.000 Zn
2.305 0.000 2.936 In
0.000 2.305 2.936 In
0.000 0.000 4.500 As
0.000 0.000 7.244 As
```

Properties
space-group type: I4/mmm
formation energy from the elements: 0.24 eV/atom
spin magnetization: 0.0 μB/f.u.
uncorrected energy: -16.58 eV/cell